[1]
An optimized crystal structure of LiAlSiO4. Source: Alexandria via LeMat-Bulk, functional GGA-PBE.

Results
Density of states at the Fermi level: 0.0 states/eV/cell
Magnetic moment: 0.0 μB/f.u.
Final energy: -7.208 eV/atom

Cell: 5.3555 5.3555 11.1004 Å, 90.00 90.00 120.00°
Space group P6_222 (No. 180)
Asymmetric unit:
Li: 0.0000 0.0000 0.0000 [3 per cell]
Al: 0.0000 0.5000 0.6667 [3 per cell]
Si: 0.0000 0.5000 0.1667 [3 per cell]
O: 0.1858 0.4000 0.2510 [12 per cell]

[2]
An optimized crystal structure of LiAlSi2O6. Source: Alexandria via LeMat-Bulk, functional GGA-PBE.

Results
Density of states at the Fermi level: 0.0 states/eV/cell
Magnetic moment: 0.0 μB/f.u.
Final energy: -7.436 eV/atom

Cell: 10.608 10.971 5.273 Å, 90.00 119.78 90.00°
Space group C2/c (No. 15)
Asymmetric unit:
Li: 0.000 0.249 0.250 [4 per cell]
Al: 0.000 0.249 0.750 [4 per cell]
Si: 0.249 0.417 0.242 [8 per cell]
O: 0.104 0.166 0.635 [8 per cell]
O: 0.104 0.332 0.073 [8 per cell]
O: 0.249 0.477 0.524 [8 per cell]

[3]
An optimized crystal structure of Li3AlSiO5. Source: Alexandria via LeMat-Bulk, functional GGA-PBE.

Results
Density of states at the Fermi level: 0.0 states/eV/cell
Magnetic moment: 0.0 μB/f.u.
Final energy: -6.594 eV/atom

Cell: 5.390 15.734 4.851 Å, 90.00 90.00 90.00°
Space group Pna2_1 (No. 33)
Asymmetric unit:
Li: 0.165 0.004 0.000 [4 per cell]
Li: 0.170 0.596 0.002 [4 per cell]
Li: 0.171 0.197 0.002 [4 per cell]
Al: 0.172 0.800 0.005 [4 per cell]
Si: 0.167 0.401 0.001 [4 per cell]
O: 0.123 0.603 0.409 [4 per cell]
O: 0.145 0.210 0.416 [4 per cell]
O: 0.187 0.986 0.405 [4 per cell]
O: 0.188 0.814 0.372 [4 per cell]
O: 0.192 0.390 0.344 [4 per cell]

[4]
An optimized crystal structure of LiAlSiO4. Source: Alexandria via LeMat-Bulk, functional GGA-PBE.

Results
Density of states at the Fermi level: 0.0 states/eV/cell
Magnetic moment: 0.0 μB/f.u.
Final energy: -7.227 eV/atom

Cell: 13.6470 13.6470 9.0953 Å, 90.00 90.00 120.00°
Space group R3 (No. 146, hexagonal axes)
Asymmetric unit:
Li: 0.0197 0.2093 0.0000 [9 per cell]
Li: 0.1432 0.6828 0.1636 [9 per cell]
Al: 0.0098 0.2073 0.6654 [9 per cell]
Al: 0.1369 0.6849 0.8318 [9 per cell]
Si: 0.0166 0.2128 0.3313 [9 per cell]
Si: 0.1351 0.6761 0.4975 [9 per cell]
O: 0.0038 0.3463 0.9973 [9 per cell]
O: 0.0040 0.6791 0.8320 [9 per cell]
O: 0.0651 0.1993 0.4918 [9 per cell]
O: 0.0964 0.2149 0.1944 [9 per cell]
O: 0.0971 0.2154 0.8129 [9 per cell]
O: 0.1990 0.1338 0.9882 [9 per cell]
O: 0.2095 0.1240 0.6909 [9 per cell]
O: 0.2159 0.1117 0.3110 [9 per cell]